(1)
The following is a DFT calculation (GGA-PBE) of crystalline AcPm2Al at its relaxed geometry.

The calculation puts the energy of formation from the pure elements at 0.033 eV/atom. The value obtained for the energy above the most stable polymorph in this dataset is 0.180 eV/atom.

The space group is R3m (No. 160, hexagonal axes) and the conventional cell measures 5.1921, 5.1921 and 17.8912 Å, with angles of 90.00, 90.00 and 120.00 degrees. The inequivalent atoms are Ac at (0.0000, 0.0000, 0.0000), Pm at (0.0000, 0.0000, 0.5527), Pm at (0.0000, 0.0000, 0.7854) and Al at (0.0000, 0.0000, 0.1946).

(2)
The following is a DFT calculation (GGA-PBE) of crystalline Ac2PmAl at its relaxed geometry.

The calculation puts the energy of formation from the pure elements at -0.075 eV/atom. The value obtained for the energy above the most stable polymorph in this dataset is 0.000 eV/atom.

The space group is P4/mmm (No. 123) and the conventional cell measures 3.950, 3.950 and 9.106 Å, with angles of 90.00, 90.00 and 90.00 degrees. The inequivalent atoms are Ac at (0.000, 0.000, 0.211), Pm at (0.500, 0.500, 0.500) and Al at (0.500, 0.500, 0.000).

(3)
The following is a DFT calculation (GGA-PBE) of crystalline AcPm4Al5 at its relaxed geometry.

The calculation puts the energy of formation from the pure elements at -0.333 eV/atom.

The space group is P4/mmm (No. 123) and the conventional cell measures 3.757, 3.757 and 18.698 Å, with angles of 90.00, 90.00 and 90.00 degrees. The inequivalent atoms are Ac at (0.000, 0.000, 0.000), Pm at (0.000, 0.000, 0.208), Pm at (0.000, 0.000, 0.403), Al at (0.500, 0.500, 0.114), Al at (0.500, 0.500, 0.306) and Al at (0.500, 0.500, 0.500).

(4)
The following is a DFT calculation (GGA-PBE) of crystalline Ac2PmAl at its relaxed geometry.

The calculation puts the energy of formation from the pure elements at -0.054 eV/atom. The value obtained for the energy above the most stable polymorph in this dataset is 0.020 eV/atom.

The space group is P4/mmm (No. 123) and the conventional cell measures 5.195, 5.195 and 5.019 Å, with angles of 90.00, 90.00 and 90.00 degrees. The inequivalent atoms are Ac at (0.000, 0.500, 0.000), Pm at (0.000, 0.000, 0.500) and Al at (0.500, 0.500, 0.500).

(5)
The following is a DFT calculation (GGA-PBE) of crystalline Ac2PmAl at its relaxed geometry.

The calculation puts the energy of formation from the pure elements at 0.221 eV/atom. The value obtained for the energy above the most stable polymorph in this dataset is 0.295 eV/atom.

The space group is R-3m (No. 166, hexagonal axes) and the conventional cell measures 3.7727, 3.7727 and 36.8119 Å, with angles of 90.00, 90.00 and 120.00 degrees. The inequivalent atoms are Ac at (0.0000, 0.0000, 0.0999), Pm at (0.0000, 0.0000, 0.0000) and Al at (0.0000, 0.0000, 0.5000).

(6)
The following is a DFT calculation (GGA-PBE) of crystalline AcPm2Al at its relaxed geometry.

The calculation puts the energy of formation from the pure elements at -0.099 eV/atom. The value obtained for the energy above the most stable polymorph in this dataset is 0.048 eV/atom.

The space group is P4/mmm (No. 123) and the conventional cell measures 4.998, 4.998 and 5.004 Å, with angles of 90.00, 90.00 and 90.00 degrees. The inequivalent atoms are Ac at (0.000, 0.000, 0.000), Pm at (0.000, 0.500, 0.500) and Al at (0.500, 0.500, 0.000).